Material: KFe2Co
Method: DFT, GGA-PBE
State: optimized geometry

extended XYZ file:
```
4
Lattice="-0.8072 0.3353 2.4533 -0.7972 -4.8630 0.4024 4.6740 -0.6319 1.6242" Properties=species:S:1:pos:R:3 pbc="T T T"
Co 1.9384 -2.7474 1.0133
Fe 0.0000 0.0000 0.0000
Fe -0.8022 -2.2639 1.4278
K 1.9334 -0.1483 2.0388
```

## Properties
**Energy**: -20.2 eV for the cell shown
**Energy relative to the lowest polymorph listed for this composition**: 2.39 eV/f.u.
**DFT formation energy**: 119.4 kJ/mol of atoms